A) A plane-wave DFT calculation with PBE was carried out for an optimized crystal structure of In2BiSb2.

a b c (Å): 8.5832 8.5832 4.0011
angles (deg): 90.00 90.00 90.00
Sites, in units of the cell vectors:
Bi 0.5000 0.5000 0.0000
Bi 0.0000 0.0000 0.0000
Sb 0.8425 0.6575 0.0000
Sb 0.1575 0.3425 0.0000
Sb 0.6575 0.1575 0.0000
Sb 0.3425 0.8425 0.0000
In 0.3562 0.1438 0.5000
In 0.1438 0.6438 0.5000
In 0.8562 0.3562 0.5000
In 0.6438 0.8562 0.5000

**Density**: 7.7 Mg/m³
**Total magnetization**: 0.0000 μB per atom

***

B) A plane-wave DFT calculation with PBE was carried out for an optimized crystal structure of In2BiSb2.

a b c (Å): 4.3076 4.3076 8.6114
angles (deg): 75.52 75.52 90.00
Sites, in units of the cell vectors:
Sb 0.4031 0.4031 0.1939
Sb 0.5969 0.5969 0.8061
Bi 0.0000 0.0000 0.0000
In 0.2500 0.7500 0.5000
In 0.7500 0.2500 0.5000

**Density**: 7.6 Mg/m³
**Total magnetization**: 0.0000 μB per atom

***

Order of stability, best first: A), B)